[1]
! Ho3Al2GaGe2Ir, relaxed, DFT PBE; values from VASP
! - Electronic total energy: -5.578 eV/atom
! - Symmetry: Amm2 (38)
! - Spin magnetization: 0.00 μB/cell
&SYSTEM
  ibrav = 0, nat = 9, ntyp = 5
/
ATOMIC_SPECIES
Ho 164.93 Ho.upf
Ga 69.72 Ga.upf
Al 26.98 Al.upf
Ge 72.64 Ge.upf
Ir 192.22 Ir.upf
ATOMIC_POSITIONS crystal
Ho 0.500 0.415 0.415
Ho 0.500 0.587 0.996
Ho 0.500 0.996 0.587
Ga 0.000 0.768 0.768
Al 0.000 0.002 0.231
Al 0.000 0.231 0.002
Ge 0.000 0.666 0.328
Ge 0.000 0.328 0.666
Ir 0.500 0.008 0.008
CELL_PARAMETERS angstrom
4.214 0.000 0.000
0.000 5.993 3.492
0.000 -5.993 3.492

[2]
! ScCdCuAu, relaxed, DFT PBE; values from VASP
! - Symmetry: F-43m (216)
! - Energy above the lowest structure with this stoichiometry: 81 meV per atom
! - Spin magnetization: 0.01 μB/cell
&SYSTEM
  ibrav = 0, nat = 4, ntyp = 4
/
ATOMIC_SPECIES
Sc 44.96 Sc.upf
Au 196.97 Au.upf
Cd 112.41 Cd.upf
Cu 63.55 Cu.upf
ATOMIC_POSITIONS crystal
Sc 0.750 0.750 0.750
Au 0.000 0.000 0.000
Cd 0.500 0.500 0.500
Cu 0.250 0.250 0.250
CELL_PARAMETERS angstrom
0.000 3.289 3.289
3.289 0.000 3.289
3.289 3.289 0.000